VASP calculation (PBE+U) on a geometry-optimized LuFeCuO4 structure.

a b c (Å): 8.345 8.345 8.345
angles (deg): 24.14 24.14 24.14
Positions (direct):
Lu (0.000, 0.000, 0.000)
Fe (0.791, 0.791, 0.791)
Cu (0.217, 0.217, 0.217)
O (0.131, 0.131, 0.131)
O (0.297, 0.297, 0.297)
O (0.711, 0.711, 0.711)
O (0.874, 0.874, 0.874)

Values from the calculation:
The calculation puts the raw total energy at -6.797 eV/atom. The value obtained for the total magnetization is 3.74 μB/f.u. As for the symmetry: No. 160.